i.
# K4Rb2Na | Alexandria via LeMat-Bulk | PBE | optimized geometry
# Fermi-level density of states = 4.28 states/eV/f.u.
# Density = 1.13 g cm⁻³
data_K4Rb2Na
_chemical_formula_sum 'K8 Rb4 Na2'
_space_group_name_H-M_alt 'C 1 2/m 1'
_space_group_IT_number 12
_space_group_name_Hall '-C 2y'
_cell_length_a 23.9469
_cell_length_b 4.6288
_cell_length_c 10.1722
_cell_angle_alpha 90.00
_cell_angle_beta 113.96
_cell_angle_gamma 90.00
loop_
_atom_site_label
_atom_site_type_symbol
_atom_site_fract_x
_atom_site_fract_y
_atom_site_fract_z
K1 K 0.0848 0.0000 0.4307
K2 K 0.0949 0.5000 0.8306
Rb1 Rb 0.2274 0.0000 0.2426
Na1 Na 0.0000 0.0000 0.0000

ii.
# K4Rb2Na | Alexandria via LeMat-Bulk | PBE | optimized geometry
# Fermi-level density of states = 5.50 states/eV/f.u.
# Density = 1.02 g cm⁻³
data_K4Rb2Na
_chemical_formula_sum 'K8 Rb4 Na2'
_space_group_name_H-M_alt 'I 4/m m m'
_space_group_IT_number 139
_space_group_name_Hall '-I 4 2'
_cell_length_a 7.0724
_cell_length_b 7.0724
_cell_length_c 22.8934
_cell_angle_alpha 90.00
_cell_angle_beta 90.00
_cell_angle_gamma 90.00
loop_
_atom_site_label
_atom_site_type_symbol
_atom_site_fract_x
_atom_site_fract_y
_atom_site_fract_z
K1 K 0.0000 0.0000 0.1693
K2 K 0.0000 0.5000 0.0000
Rb1 Rb 0.0000 0.0000 0.3656
Na1 Na 0.0000 0.0000 0.0000

Which structure wins on stability? i wins.

i.
# K2Rb3Na2 | Alexandria via LeMat-Bulk | PBE | optimized geometry
# Fermi-level density of states = 5.40 states/eV/f.u.
# Density = 1.33 g cm⁻³
data_K2Rb3Na2
_chemical_formula_sum 'K4 Rb6 Na4'
_space_group_name_H-M_alt 'C 1 2/m 1'
_space_group_IT_number 12
_space_group_name_Hall '-C 2y'
_cell_length_a 12.5168
_cell_length_b 7.1481
_cell_length_c 11.4208
_cell_angle_alpha 90.00
_cell_angle_beta 111.26
_cell_angle_gamma 90.00
loop_
_atom_site_label
_atom_site_type_symbol
_atom_site_fract_x
_atom_site_fract_y
_atom_site_fract_z
K1 K 0.0909 0.0000 0.2648
Rb1 Rb 0.0000 0.5000 0.5000
Rb2 Rb 0.1417 0.5000 0.9281
Na1 Na 0.2184 0.0000 0.6652

ii.
# K2Rb3Na2 | Alexandria via LeMat-Bulk | PBE | optimized geometry
# Fermi-level density of states = 4.89 states/eV/f.u.
# Density = 1.32 g cm⁻³
data_K2Rb3Na2
_chemical_formula_sum 'K2 Rb3 Na2'
_space_group_name_H-M_alt 'P -1'
_space_group_IT_number 2
_space_group_name_Hall '-P 1'
_cell_length_a 6.8832
_cell_length_b 8.0688
_cell_length_c 9.4786
_cell_angle_alpha 91.96
_cell_angle_beta 90.09
_cell_angle_gamma 114.23
loop_
_atom_site_label
_atom_site_type_symbol
_atom_site_fract_x
_atom_site_fract_y
_atom_site_fract_z
K1 K 0.1057 0.2103 0.1743
Rb1 Rb 0.1997 0.4010 0.6889
Rb2 Rb 0.5000 0.0000 0.5000
Na1 Na 0.3891 0.7776 0.0704

Which structure wins on stability? ii wins.

i.
# K5Rb2Na5 | Alexandria via LeMat-Bulk | PBE | optimized geometry
# Fermi-level density of states = 7.87 states/eV/f.u.
# Density = 1.12 g cm⁻³
data_K5Rb2Na5
_chemical_formula_sum 'K10 Rb4 Na10'
_space_group_name_H-M_alt 'C 1 2/m 1'
_space_group_IT_number 12
_space_group_name_Hall '-C 2y'
_cell_length_a 15.1882
_cell_length_b 6.7713
_cell_length_c 14.7793
_cell_angle_alpha 90.00
_cell_angle_beta 110.76
_cell_angle_gamma 90.00
loop_
_atom_site_label
_atom_site_type_symbol
_atom_site_fract_x
_atom_site_fract_y
_atom_site_fract_z
K1 K 0.0000 0.0000 0.0000
K2 K 0.1074 0.0000 0.7626
K3 K 0.1551 0.0000 0.4888
Rb1 Rb 0.0872 0.5000 0.2250
Na1 Na 0.0000 0.5000 0.5000
Na2 Na 0.2007 0.5000 0.9614
Na3 Na 0.2245 0.5000 0.7168

ii.
# K5Rb2Na5 | Alexandria via LeMat-Bulk | PBE | optimized geometry
# Fermi-level density of states = 8.06 states/eV/f.u.
# Density = 1.05 g cm⁻³
data_K5Rb2Na5
_chemical_formula_sum 'K5 Rb2 Na5'
_space_group_name_H-M_alt 'P m m m'
_space_group_IT_number 47
_space_group_name_Hall '-P 2 2'
_cell_length_a 6.8508
_cell_length_b 7.7680
_cell_length_c 14.2375
_cell_angle_alpha 90.00
_cell_angle_beta 90.00
_cell_angle_gamma 90.00
loop_
_atom_site_label
_atom_site_type_symbol
_atom_site_fract_x
_atom_site_fract_y
_atom_site_fract_z
K1 K 0.0000 0.0000 0.0000
K2 K 0.5000 0.0000 0.1806
K3 K 0.5000 0.5000 0.3341
Rb1 Rb 0.5000 0.0000 0.5000
Rb2 Rb 0.5000 0.5000 0.0000
Na1 Na 0.0000 0.2447 0.2737
Na2 Na 0.0000 0.5000 0.5000

Which structure wins on stability? i wins.

i.
# K2Rb2Na5 | Alexandria via LeMat-Bulk | PBE | optimized geometry
# Fermi-level density of states = 6.14 states/eV/f.u.
# Density = 1.18 g cm⁻³
data_K2Rb2Na5
_chemical_formula_sum 'K8 Rb8 Na20'
_space_group_name_H-M_alt 'I m a 2'
_space_group_IT_number 46
_space_group_name_Hall 'I 2 -2a'
_cell_length_a 18.0980
_cell_length_b 9.3367
_cell_length_c 12.1038
_cell_angle_alpha 90.00
_cell_angle_beta 90.00
_cell_angle_gamma 90.00
loop_
_atom_site_label
_atom_site_type_symbol
_atom_site_fract_x
_atom_site_fract_y
_atom_site_fract_z
K1 K 0.0000 0.0000 0.0000
K2 K 0.2500 0.0162 0.0052
Rb1 Rb 0.1252 0.5093 0.9000
Na1 Na 0.0477 0.6719 0.1984
Na2 Na 0.1502 0.1667 0.7084
Na3 Na 0.2500 0.6735 0.1982

ii.
# K2Rb2Na5 | Alexandria via LeMat-Bulk | PBE | optimized geometry
# Fermi-level density of states = 6.13 states/eV/f.u.
# Density = 1.18 g cm⁻³
data_K2Rb2Na5
_chemical_formula_sum 'K4 Rb4 Na10'
_space_group_name_H-M_alt 'C 1 2/m 1'
_space_group_IT_number 12
_space_group_name_Hall '-C 2y'
_cell_length_a 21.3180
_cell_length_b 4.3830
_cell_length_c 14.6119
_cell_angle_alpha 90.00
_cell_angle_beta 131.36
_cell_angle_gamma 90.00
loop_
_atom_site_label
_atom_site_type_symbol
_atom_site_fract_x
_atom_site_fract_y
_atom_site_fract_z
K1 K 0.1187 0.0000 0.3434
Rb1 Rb 0.1339 0.5000 0.8275
Na1 Na 0.0000 0.0000 0.5000
Na2 Na 0.1020 0.0000 0.0478
Na3 Na 0.2314 0.0000 0.6977

Which structure wins on stability? i wins.

i.
# K2RbNa4 | Alexandria via LeMat-Bulk | PBE | optimized geometry
# Fermi-level density of states = 4.29 states/eV/f.u.
# Density = 1.10 g cm⁻³
data_K2RbNa4
_chemical_formula_sum 'K4 Rb2 Na8'
_space_group_name_H-M_alt 'C 1 2/m 1'
_space_group_IT_number 12
_space_group_name_Hall '-C 2y'
_cell_length_a 7.9988
_cell_length_b 13.8763
_cell_length_c 7.9924
_cell_angle_alpha 90.00
_cell_angle_beta 119.53
_cell_angle_gamma 90.00
loop_
_atom_site_label
_atom_site_type_symbol
_atom_site_fract_x
_atom_site_fract_y
_atom_site_fract_z
K1 K 0.0000 0.2492 0.0000
Rb1 Rb 0.0000 0.0000 0.5000
Na1 Na 0.0000 0.3164 0.5000
Na2 Na 0.1830 0.5000 0.8669

ii.
# K2RbNa4 | Alexandria via LeMat-Bulk | PBE | optimized geometry
# Fermi-level density of states = 3.28 states/eV/f.u.
# Density = 1.00 g cm⁻³
data_K2RbNa4
_chemical_formula_sum 'K4 Rb2 Na8'
_space_group_name_H-M_alt 'I 4/m m m'
_space_group_IT_number 139
_space_group_name_Hall '-I 4 2'
_cell_length_a 4.5718
_cell_length_b 4.5718
_cell_length_c 40.5100
_cell_angle_alpha 90.00
_cell_angle_beta 90.00
_cell_angle_gamma 90.00
loop_
_atom_site_label
_atom_site_type_symbol
_atom_site_fract_x
_atom_site_fract_y
_atom_site_fract_z
K1 K 0.0000 0.0000 0.1634
Rb1 Rb 0.0000 0.0000 0.5000
Na1 Na 0.0000 0.0000 0.4022
Na2 Na 0.0000 0.5000 0.2500

Which structure wins on stability? i wins.

i.
# K2Rb7Na2 | Alexandria via LeMat-Bulk | PBE | optimized geometry
# Fermi-level density of states = 8.85 states/eV/f.u.
# Density = 1.42 g cm⁻³
data_K2Rb7Na2
_chemical_formula_sum 'K4 Rb14 Na4'
_space_group_name_H-M_alt 'C 1 2/m 1'
_space_group_IT_number 12
_space_group_name_Hall '-C 2y'
_cell_length_a 11.4909
_cell_length_b 13.1650
_cell_length_c 11.6313
_cell_angle_alpha 90.00
_cell_angle_beta 106.18
_cell_angle_gamma 90.00
loop_
_atom_site_label
_atom_site_type_symbol
_atom_site_fract_x
_atom_site_fract_y
_atom_site_fract_z
K1 K 0.0000 0.1778 0.0000
Rb1 Rb 0.0000 0.5000 0.5000
Rb2 Rb 0.1502 0.5000 0.9121
Rb3 Rb 0.1997 0.1843 0.6752
Na1 Na 0.1143 0.0000 0.3293

ii.
# K2Rb7Na2 | Alexandria via LeMat-Bulk | PBE | optimized geometry
# Fermi-level density of states = 7.12 states/eV/f.u.
# Density = 1.38 g cm⁻³
data_K2Rb7Na2
_chemical_formula_sum 'K4 Rb14 Na4'
_space_group_name_H-M_alt 'I m m 2'
_space_group_IT_number 44
_space_group_name_Hall 'I 2 -2'
_cell_length_a 5.2431
_cell_length_b 23.9810
_cell_length_c 13.8447
_cell_angle_alpha 90.00
_cell_angle_beta 90.00
_cell_angle_gamma 90.00
loop_
_atom_site_label
_atom_site_type_symbol
_atom_site_fract_x
_atom_site_fract_y
_atom_site_fract_z
K1 K 0.0000 0.0000 0.0000
K2 K 0.0000 0.5000 0.1809
Rb1 Rb 0.0000 0.0000 0.3537
Rb2 Rb 0.0000 0.1487 0.8015
Rb3 Rb 0.0000 0.3299 0.0105
Rb4 Rb 0.0000 0.3492 0.6045
Na1 Na 0.0000 0.2189 0.2977

Which structure wins on stability? i wins.

i.
# KRb3Na2 | Alexandria via LeMat-Bulk | PBE | optimized geometry
# Fermi-level density of states = 4.32 states/eV/f.u.
# Density = 1.38 g cm⁻³
data_KRb3Na2
_chemical_formula_sum 'K4 Rb12 Na8'
_space_group_name_H-M_alt 'C 1 2/m 1'
_space_group_IT_number 12
_space_group_name_Hall '-C 2y'
_cell_length_a 21.3646
_cell_length_b 6.8467
_cell_length_c 13.2634
_cell_angle_alpha 90.00
_cell_angle_beta 121.96
_cell_angle_gamma 90.00
loop_
_atom_site_label
_atom_site_type_symbol
_atom_site_fract_x
_atom_site_fract_y
_atom_site_fract_z
K1 K 0.1200 0.0000 0.0772
Rb1 Rb 0.0254 0.0000 0.3368
Rb2 Rb 0.1321 0.5000 0.6766
Rb3 Rb 0.1978 0.5000 0.3476
Na1 Na 0.0387 0.5000 0.9067
Na2 Na 0.2501 0.0000 0.9318

ii.
# KRb3Na2 | Alexandria via LeMat-Bulk | PBE | optimized geometry
# Fermi-level density of states = 4.11 states/eV/f.u.
# Density = 1.40 g cm⁻³
data_KRb3Na2
_chemical_formula_sum 'K2 Rb6 Na4'
_space_group_name_H-M_alt 'C m m m'
_space_group_IT_number 65
_space_group_name_Hall '-C 2 2'
_cell_length_a 7.3090
_cell_length_b 21.9466
_cell_length_c 5.0609
_cell_angle_alpha 90.00
_cell_angle_beta 90.00
_cell_angle_gamma 90.00
loop_
_atom_site_label
_atom_site_type_symbol
_atom_site_fract_x
_atom_site_fract_y
_atom_site_fract_z
K1 K 0.0000 0.0000 0.0000
Rb1 Rb 0.0000 0.1795 0.5000
Rb2 Rb 0.0000 0.5000 0.5000
Na1 Na 0.0000 0.3430 0.0000

Which structure wins on stability? i wins.

i.
# KRb2Na5 | Alexandria via LeMat-Bulk | PBE | optimized geometry
# Fermi-level density of states = 4.91 states/eV/f.u.
# Density = 1.27 g cm⁻³
data_KRb2Na5
_chemical_formula_sum 'K2 Rb4 Na10'
_space_group_name_H-M_alt 'I 4/m m m'
_space_group_IT_number 139
_space_group_name_Hall '-I 4 2'
_cell_length_a 6.6327
_cell_length_b 6.6327
_cell_length_c 19.3308
_cell_angle_alpha 90.00
_cell_angle_beta 90.00
_cell_angle_gamma 90.00
loop_
_atom_site_label
_atom_site_type_symbol
_atom_site_fract_x
_atom_site_fract_y
_atom_site_fract_z
K1 K 0.0000 0.0000 0.0000
Rb1 Rb 0.0000 0.0000 0.2561
Na1 Na 0.0000 0.0000 0.5000
Na2 Na 0.0000 0.5000 0.1040

ii.
# KRb2Na5 | Alexandria via LeMat-Bulk | PBE | optimized geometry
# Fermi-level density of states = 4.50 states/eV/f.u.
# Density = 1.26 g cm⁻³
data_KRb2Na5
_chemical_formula_sum 'K2 Rb4 Na10'
_space_group_name_H-M_alt 'C 1 m 1'
_space_group_IT_number 8
_space_group_name_Hall 'C -2y'
_cell_length_a 13.7459
_cell_length_b 9.0916
_cell_length_c 9.0936
_cell_angle_alpha 90.00
_cell_angle_beta 130.97
_cell_angle_gamma 90.00
loop_
_atom_site_label
_atom_site_type_symbol
_atom_site_fract_x
_atom_site_fract_y
_atom_site_fract_z
K1 K 0.0000 0.0000 0.0000
Rb1 Rb 0.0776 0.0000 0.5782
Rb2 Rb 0.0777 0.5000 0.0751
Na1 Na 0.1042 0.5000 0.6024
Na2 Na 0.3224 0.2066 0.5283
Na3 Na 0.3245 0.2059 0.1177

Which structure wins on stability? i wins.

i.
# K5Rb5Na | Alexandria via LeMat-Bulk | PBE | optimized geometry
# Fermi-level density of states = 8.98 states/eV/f.u.
# Density = 1.22 g cm⁻³
data_K5Rb5Na
_chemical_formula_sum 'K10 Rb10 Na2'
_space_group_name_H-M_alt 'C 1 2/m 1'
_space_group_IT_number 12
_space_group_name_Hall '-C 2y'
_cell_length_a 24.8445
_cell_length_b 7.9694
_cell_length_c 9.6450
_cell_angle_alpha 90.00
_cell_angle_beta 112.47
_cell_angle_gamma 90.00
loop_
_atom_site_label
_atom_site_type_symbol
_atom_site_fract_x
_atom_site_fract_y
_atom_site_fract_z
K1 K 0.0000 0.0000 0.0000
K2 K 0.1556 0.5000 0.3815
K3 K 0.1558 0.5000 0.9322
Rb1 Rb 0.0000 0.5000 0.5000
Rb2 Rb 0.1335 0.0000 0.6358
Rb3 Rb 0.1920 0.0000 0.1937
Na1 Na 0.0000 0.5000 0.0000

ii.
# K5Rb5Na | Alexandria via LeMat-Bulk | PBE | optimized geometry
# Fermi-level density of states = 10.49 states/eV/f.u.
# Density = 1.20 g cm⁻³
data_K5Rb5Na
_chemical_formula_sum 'K10 Rb10 Na2'
_space_group_name_H-M_alt 'C 1 2/m 1'
_space_group_IT_number 12
_space_group_name_Hall '-C 2y'
_cell_length_a 22.1517
_cell_length_b 7.3538
_cell_length_c 14.4921
_cell_angle_alpha 90.00
_cell_angle_beta 130.62
_cell_angle_gamma 90.00
loop_
_atom_site_label
_atom_site_type_symbol
_atom_site_fract_x
_atom_site_fract_y
_atom_site_fract_z
K1 K 0.0000 0.0000 0.0000
K2 K 0.1709 0.5000 0.3592
K3 K 0.1715 0.5000 0.9841
Rb1 Rb 0.0000 0.5000 0.5000
Rb2 Rb 0.0018 0.0000 0.6961
Rb3 Rb 0.2464 0.0000 0.2461
Na1 Na 0.0000 0.5000 0.0000

Which structure wins on stability? i wins.

i.
# K5RbNa | Alexandria via LeMat-Bulk | PBE | optimized geometry
# Fermi-level density of states = 3.37 states/eV/f.u.
# Density = 1.04 g cm⁻³
data_K5RbNa
_chemical_formula_sum 'K20 Rb4 Na4'
_space_group_name_H-M_alt 'C 1 2/c 1'
_space_group_IT_number 15
_space_group_name_Hall '-C 2yc'
_cell_length_a 16.5786
_cell_length_b 16.5812
_cell_length_c 7.7561
_cell_angle_alpha 90.00
_cell_angle_beta 114.00
_cell_angle_gamma 90.00
loop_
_atom_site_label
_atom_site_type_symbol
_atom_site_fract_x
_atom_site_fract_y
_atom_site_fract_z
K1 K 0.0000 0.2348 0.2500
K2 K 0.1518 0.1639 0.8791
K3 K 0.2386 0.4059 0.5195
Rb1 Rb 0.0000 0.4121 0.7500
Na1 Na 0.0000 0.0000 0.0000

ii.
# K5RbNa | Alexandria via LeMat-Bulk | PBE | optimized geometry
# Fermi-level density of states = 5.53 states/eV/f.u.
# Density = 0.96 g cm⁻³
data_K5RbNa
_chemical_formula_sum 'K5 Rb1 Na1'
_space_group_name_H-M_alt 'P 4/m m m'
_space_group_IT_number 123
_space_group_name_Hall '-P 4 2'
_cell_length_a 6.2339
_cell_length_b 6.2339
_cell_length_c 13.4926
_cell_angle_alpha 90.00
_cell_angle_beta 90.00
_cell_angle_gamma 90.00
loop_
_atom_site_label
_atom_site_type_symbol
_atom_site_fract_x
_atom_site_fract_y
_atom_site_fract_z
K1 K 0.0000 0.0000 0.0000
K2 K 0.0000 0.5000 0.2329
Rb1 Rb 0.0000 0.0000 0.5000
Na1 Na 0.5000 0.5000 0.0000

Which structure wins on stability? i wins.

i.
# KRb3Na4 | Alexandria via LeMat-Bulk | PBE | optimized geometry
# Fermi-level density of states = 5.44 states/eV/f.u.
# Density = 1.36 g cm⁻³
data_KRb3Na4
_chemical_formula_sum 'K2 Rb6 Na8'
_space_group_name_H-M_alt 'P m m a'
_space_group_IT_number 51
_space_group_name_Hall '-P 2a 2a'
_cell_length_a 13.9425
_cell_length_b 9.7478
_cell_length_c 6.9820
_cell_angle_alpha 90.00
_cell_angle_beta 90.00
_cell_angle_gamma 90.00
loop_
_atom_site_label
_atom_site_type_symbol
_atom_site_fract_x
_atom_site_fract_y
_atom_site_fract_z
K1 K 0.0000 0.0000 0.0000
Rb1 Rb 0.0000 0.5000 0.0000
Rb2 Rb 0.2500 0.0000 0.4786
Rb3 Rb 0.2500 0.5000 0.4819
Na1 Na 0.0000 0.2374 0.5000
Na2 Na 0.2500 0.2375 0.9731

ii.
# KRb3Na4 | Alexandria via LeMat-Bulk | PBE | optimized geometry
# Fermi-level density of states = 5.83 states/eV/f.u.
# Density = 1.30 g cm⁻³
data_KRb3Na4
_chemical_formula_sum 'K2 Rb6 Na8'
_space_group_name_H-M_alt 'I m m 2'
_space_group_IT_number 44
_space_group_name_Hall 'I 2 -2'
_cell_length_a 7.6396
_cell_length_b 9.9444
_cell_length_c 13.0068
_cell_angle_alpha 90.00
_cell_angle_beta 90.00
_cell_angle_gamma 90.00
loop_
_atom_site_label
_atom_site_type_symbol
_atom_site_fract_x
_atom_site_fract_y
_atom_site_fract_z
K1 K 0.0000 0.0000 0.0000
Rb1 Rb 0.0000 0.2658 0.5814
Rb2 Rb 0.0000 0.5000 0.9272
Na1 Na 0.0000 0.1792 0.2717
Na2 Na 0.2246 0.5000 0.2606

Which structure wins on stability? i wins.